Density functional theory data (PBE) for a relaxed Li2CdInIr crystal.

Values from the calculation:
Total magnetization = 0.000 μB/cell
DFT formation energy = 0.88 eV per formula unit
SG = No. 123
D(E_F) = 0.262 states/eV/atom
Theoretical density = 6.15 g/cm³

Unit cell a=4.7737 b=4.7737 c=5.1345 alpha=90.00 beta=90.00 gamma=90.00
Atoms (fractional coordinates):
Li  0.0000  0.5000  0.0000
Li  0.5000  0.0000  0.0000
Cd  0.0000  0.0000  0.5000
In  0.5000  0.5000  0.5000
Ir  0.5000  0.5000  0.0000